The following is a GGA-PBE calculation of a relaxed BiPt crystal, from Alexandria.

Structure (CIF):
```
data_BiPt
_cell_length_a 11.290
_cell_length_b 11.290
_cell_length_c 4.158
_cell_angle_alpha 90.00
_cell_angle_beta 90.00
_cell_angle_gamma 90.00
_space_group_name_H-M_alt 'I 4/m'
_space_group_IT_number 87
_space_group_name_Hall '-I 4'
loop_
_atom_site_label
_atom_site_type_symbol
_atom_site_fract_x
_atom_site_fract_y
_atom_site_fract_z
Bi1 Bi 0.063 0.281 0.000
Pt1 Pt 0.175 0.708 0.000
```

***

# TbNdTh2 | Alexandria | GGA-PBE | optimized geometry
data_TbNdTh2
_cell_length_a 3.5163
_cell_length_b 3.5163
_cell_length_c 37.3987
_cell_angle_alpha 90.00
_cell_angle_beta 90.00
_cell_angle_gamma 120.00
_space_group_name_H-M_alt 'R -3 m'
_space_group_IT_number 166
_space_group_name_Hall '-R 3 2"'
loop_
_atom_site_label
_atom_site_type_symbol
_atom_site_fract_x
_atom_site_fract_y
_atom_site_fract_z
Tb1 Tb 0.0000 0.0000 0.0000
Nd1 Nd 0.0000 0.0000 0.5000
Th1 Th 0.0000 0.0000 0.4118
# Excess energy over the best structure of this formula in the dataset = 0.170 eV/atom

***

| no. | energy relative to the elements (eV/atom) | size of the total moment (μB/f.u.) |
| --- | --- | --- |
| 1 | 0.071 | 0.0 |
| 2 | 0.200 | 0.0 |